DFT (PBE) results for a relaxed structure of Ca2TbCe.

The formation energy comes out at 263.0 meV per atom. The calculation puts the spin magnetization at 1.5 μB/f.u. For the calculated density, the calculation gives 4.3 g/cm3.

```
Ca2TbCe
1.0
-2.412 1.069 5.280
-0.565 -4.371 3.927
3.365 -0.064 4.850
Ce Ca Tb
1 2 1
Cartesian
0.194 -1.683 7.028
0.096 -0.842 3.514
0.291 -2.524 10.543
0.000 0.000 0.000
```